SrLi | GGA-PBE | optimized geometry

## Properties
**ΔH_f (0 K)**: 259 meV/atom
**SG**: P6_3/mmc

Cell: 6.3669 6.3669 9.1879 Å, 90.00 90.00 120.00°
Sites, in units of the cell vectors:
1 Sr 0.6667 0.3333 0.2500
2 Li 0.3333 0.6667 0.1029
3 Li 0.6667 0.3333 0.6029
4 Sr 0.3333 0.6667 0.7500
5 Li 0.6667 0.3333 0.8971
6 Sr 0.0000 0.0000 0.2500
7 Sr 0.0000 0.0000 0.7500
8 Li 0.3333 0.6667 0.3971


ScAlZn2 | GGA-PBE | optimized geometry

## Properties
**ΔH_f (0 K)**: -236 meV/atom
**SG**: Pmmm

Cell: 4.4392 3.0576 5.3045 Å, 89.99 90.00 90.00°
Sites, in units of the cell vectors:
1 Zn 0.0000 0.2495 0.9906
2 Zn 0.0000 0.2505 0.5094
3 Al 0.5000 0.2500 0.2500
4 Sc 0.5000 0.7500 0.7500


Be2SiAu | GGA-PBE | optimized geometry

## Properties
**SG**: Cm
**Formation energy without anion corrections**: 0.129 eV/atom

Cell: 4.2264 4.2264 4.3763 Å, 83.94 83.94 40.83°
Sites, in units of the cell vectors:
1 Be 0.2520 0.2520 0.2326
2 Au 0.7453 0.7453 0.7840
3 Be 0.9985 0.9985 0.0269
4 Si 0.5042 0.5042 0.4565


ErZrSi2O8 | GGA-PBE | optimized geometry

## Properties
**SG**: I-4m2
**Formation energy without anion corrections**: -2.944 eV/atom

Cell: 5.7138 5.7138 5.7138 Å, 106.60 106.60 115.39°
Site moments in Bohr magnetons follow the coordinates.
Sites, in units of the cell vectors:
1 Zr 0.0000 0.0000 0.0000  -0.01
2 O 0.7689 0.0812 0.6877  0.06
3 O 0.3210 0.4991 0.1782  0.08
4 Si 0.5000 0.5000 0.0000  -0.01
5 Si 0.7500 0.2500 0.5000  0.00
6 O 0.3210 0.1428 0.8218  0.08
7 O 0.9188 0.2311 0.3123  0.06
8 Er 0.2500 0.7500 0.5000  0.00
9 O 0.3935 0.0812 0.3123  0.06
10 O 0.8572 0.6790 0.1782  0.08
11 O 0.9188 0.6065 0.6877  0.06
12 O 0.5009 0.6790 0.8218  0.08


Ge3PbSe | GGA-PBE | optimized geometry

## Properties
**SG**: Pm-3m
**Formation energy without anion corrections**: 0.519 eV/atom

Cell: 5.1883 5.1883 5.1883 Å, 90.00 90.00 90.00°
Sites, in units of the cell vectors:
1 Pb 0.5000 0.5000 0.5000
2 Ge 0.0000 0.5000 0.0000
3 Ge 0.5000 0.0000 0.0000
4 Se 0.0000 0.0000 0.0000
5 Ge 0.0000 0.0000 0.5000


Ac2AlSiPb | GGA-PBE | optimized geometry

## Properties
**SG**: P2_1/m
**Formation energy without anion corrections**: -0.445 eV/atom

Cell: 4.5914 7.6022 9.7552 Å, 106.19 90.00 90.00°
Sites, in units of the cell vectors:
1 Pb 0.2500 0.7033 0.3007
2 Si 0.7500 0.1526 0.1734
3 Ac 0.2500 0.2091 0.4021
4 Al 0.2500 0.5228 0.7384
5 Ac 0.7500 0.7909 0.5979
6 Ac 0.2500 0.2496 0.9805
7 Pb 0.7500 0.2967 0.6993
8 Ac 0.7500 0.7504 0.0195
9 Si 0.2500 0.8474 0.8266
10 Al 0.7500 0.4772 0.2616


TiAlIr2 | GGA-PBE | optimized geometry

## Properties
**ΔH_f (0 K)**: -936 meV/atom
**SG**: P4/mmm

Cell: 2.9319 2.9319 6.7144 Å, 90.00 90.00 90.00°
Sites, in units of the cell vectors:
1 Ir 0.0000 0.0000 0.7608
2 Ir 0.0000 0.0000 0.2392
3 Al 0.5000 0.5000 0.0000
4 Ti 0.5000 0.5000 0.5000


Pu2TlCu2 | GGA-PBE | optimized geometry

## Properties
**ΔH_f (0 K)**: 50 meV/atom
**SG**: Immm

Cell: 4.4283 5.6206 5.6206 Å, 62.48 66.80 66.80°
Site moments in Bohr magnetons follow the coordinates.
Sites, in units of the cell vectors:
1 Pu 0.8005 0.6995 0.6995  5.42
2 Tl 0.0000 0.0000 0.0000  -0.03
3 Cu 0.5000 0.2909 0.7091  0.00
4 Cu 0.5000 0.7091 0.2909  0.00
5 Pu 0.1995 0.3005 0.3005  5.42


Tl8As | GGA-PBE | optimized geometry

## Properties
**ΔH_f (0 K)**: 37 meV/atom
**SG**: I4/mmm

Cell: 4.4098 8.1259 8.1259 Å, 85.78 74.26 74.26°
Sites, in units of the cell vectors:
1 Tl 0.3441 0.3118 0.0000
2 As 0.0000 0.0000 0.0000
3 Tl 0.6559 0.6882 0.0000
4 Tl 0.3285 0.6715 0.6715
5 Tl 0.6715 0.3285 0.3285
6 Tl 0.6559 0.0000 0.6882
7 Tl 0.3441 0.0000 0.3118
8 Tl 0.0000 0.3285 0.6715
9 Tl 0.0000 0.6715 0.3285


| no. | final energy (Ha/atom) |
| --- | --- |
| 1 | -0.05654 |
| 2 | -0.12464 |
| 3 | -0.14367 |
| 4 | -0.30305 |
| 5 | -0.13559 |
| 6 | -0.17135 |
| 7 | -0.30412 |
| 8 | -0.28643 |
| 9 | -0.09494 |